Below is CaLa2OsF after structural relaxation, with properties calculated at the PBE-GGA level.

Cell: 5.7114 4.4612 5.7114 Å, 90.00 90.00 90.00°
Positions (direct):
F: 0.0000 0.5000 0.0000
Ca: 0.5000 0.5000 0.5000
La: 0.5000 0.0000 0.0000
Os: 0.0000 0.0000 0.0000
La: 0.0000 0.0000 0.5000

Properties
Crystal system: tetragonal
Raw formation energy, eV/atom: -0.08

***

Below is Sm3Cd2Pb after structural relaxation, with properties calculated at the PBE-GGA level.

Cell: 3.8535 5.4026 16.3653 Å, 90.00 90.00 90.00°
Positions (direct):
Cd: 0.0001 0.0000 0.3256
Sm: 0.5000 0.5000 0.6674
Sm: 0.5000 0.0000 0.1674
Cd: 0.9999 0.5000 0.8256
Pb: 0.9999 0.5000 0.5000
Cd: 0.0001 0.0000 0.6744
Sm: 0.5000 0.0000 0.5000
Cd: 0.9999 0.5000 0.1744
Sm: 0.5000 0.0000 0.8326
Pb: 0.0001 0.0000 0.0000
Sm: 0.5000 0.5000 0.3326
Sm: 0.5000 0.5000 0.0000

Properties
Energy of formation from the pure elements, eV per atom: -0.39
Crystal system: orthorhombic